Entry 1:
First-principles (GGA-PBE) data for a geometry-optimized Ce4GaTc structure, as listed in Alexandria via LeMat-Bulk.

Lattice parameters (Å, degrees): 8.327 12.519 5.959 90.00 111.76 90.00
Space group C2/c (No. 15)
Inequivalent atoms, fractional coordinates:
Ce1 0.125 0.191 0.081 x8
Ce2 0.212 0.407 0.320 x8
Ga1 0.000 0.387 0.750 x4
Tc1 0.000 0.001 0.750 x4

=====

Entry 2:
First-principles (GGA-PBE) data for a geometry-optimized CeGa2Tc3 structure, as listed in Alexandria via LeMat-Bulk.

Lattice parameters (Å, degrees): 15.146 4.309 7.173 90.00 113.96 90.00
Space group C2/m (No. 12)
Inequivalent atoms, fractional coordinates:
Ce1 0.123 0.000 0.210 x4
Ga1 0.032 0.500 0.863 x4
Ga2 0.222 0.000 0.675 x4
Tc1 0.055 0.000 0.688 x4
Tc2 0.091 0.500 0.526 x4
Tc3 0.211 0.500 0.916 x4

=====

Entry 3:
First-principles (GGA-PBE) data for a geometry-optimized Ce6GaTc3 structure, as listed in Alexandria via LeMat-Bulk.

Lattice parameters (Å, degrees): 12.2483 12.2483 10.6935 90.00 90.00 120.00
Space group R-3 (No. 148, hexagonal axes)
Inequivalent atoms, fractional coordinates:
Ce1 0.0388 0.6206 0.1362 x18
Ce2 0.0918 0.1850 0.7672 x18
Ga1 0.0000 0.0000 0.0000 x3
Ga2 0.0000 0.0000 0.5000 x3
Tc1 0.0449 0.7976 0.0385 x18

=====

Entry 4:
First-principles (GGA-PBE) data for a geometry-optimized CeGaTc structure, as listed in Alexandria via LeMat-Bulk.

Lattice parameters (Å, degrees): 5.582 5.786 7.074 90.00 90.00 90.00
Space group Imma (No. 74)
Inequivalent atoms, fractional coordinates:
Ce1 0.000 0.250 0.095 x4
Ga1 0.000 0.000 0.500 x4
Tc1 0.250 0.250 0.750 x4

Computed properties:
Energy above the most stable polymorph in this dataset   0.0 meV/atom

=====

Entry 5:
First-principles (GGA-PBE) data for a geometry-optimized Ce2GaTc3 structure, as listed in Alexandria via LeMat-Bulk.

Lattice parameters (Å, degrees): 5.3922 5.3922 8.9501 90.00 90.00 120.00
Space group P6_3/mmc (No. 194)
Inequivalent atoms, fractional coordinates:
Ce1 0.3333 0.6667 0.0778 x4
Ga1 0.0000 0.0000 0.0000 x2
Tc1 0.1710 0.3421 0.7500 x6

Computed properties:
Energy above the most stable polymorph in this dataset   13.3 meV/atom

=====

Entry 6:
First-principles (GGA-PBE) data for a geometry-optimized CeTmGaTc structure, as listed in Alexandria via LeMat-Bulk.

Lattice parameters (Å, degrees): 6.994 6.994 6.994 90.00 90.00 90.00
Space group F-43m (No. 216)
Inequivalent atoms, fractional coordinates:
Ce1 0.000 0.000 0.000 x4
Tm1 0.000 0.000 0.500 x4
Ga1 0.250 0.250 0.250 x4
Tc1 0.250 0.250 0.750 x4

=====

Entry 7:
First-principles (GGA-PBE) data for a geometry-optimized CeYGaTc structure, as listed in Alexandria via LeMat-Bulk.

Lattice parameters (Å, degrees): 7.050 7.050 7.050 90.00 90.00 90.00
Space group F-43m (No. 216)
Inequivalent atoms, fractional coordinates:
Ce1 0.000 0.000 0.000 x4
Y1 0.000 0.000 0.500 x4
Ga1 0.250 0.250 0.250 x4
Tc1 0.250 0.250 0.750 x4

=====

Entry 8:
First-principles (GGA-PBE) data for a geometry-optimized CeZnGaTc structure, as listed in Alexandria via LeMat-Bulk.

Lattice parameters (Å, degrees): 6.644 6.644 6.644 90.00 90.00 90.00
Space group F-43m (No. 216)
Inequivalent atoms, fractional coordinates:
Ce1 0.000 0.000 0.000 x4
Zn1 0.250 0.250 0.250 x4
Ga1 0.250 0.250 0.750 x4
Tc1 0.000 0.000 0.500 x4

=====

Entry 9:
First-principles (GGA-PBE) data for a geometry-optimized Ce2ZnGa6Tc structure, as listed in Alexandria via LeMat-Bulk.

Lattice parameters (Å, degrees): 6.734 6.734 9.516 90.00 90.00 90.00
Space group I4/mmm (No. 139)
Inequivalent atoms, fractional coordinates:
Ce1 0.000 0.500 0.250 x4
Zn1 0.000 0.000 0.000 x2
Ga1 0.000 0.000 0.246 x4
Ga2 0.246 0.246 0.000 x8
Tc1 0.000 0.000 0.500 x2

=====

Entry 10:
First-principles (GGA-PBE) data for a geometry-optimized Ce2GaTe structure, as listed in Alexandria via LeMat-Bulk.

Lattice parameters (Å, degrees): 3.656 3.656 7.935 90.00 90.00 90.00
Space group P4/mmm (No. 123)
Inequivalent atoms, fractional coordinates:
Ce1 0.000 0.000 0.244 x2
Ga1 0.500 0.500 0.000 x1
Te1 0.500 0.500 0.500 x1

Computed properties:
Energy above the most stable polymorph in this dataset   118.0 meV/atom

=====

Entry 11:
First-principles (GGA-PBE) data for a geometry-optimized Ce4Ga2Te structure, as listed in Alexandria via LeMat-Bulk.

Lattice parameters (Å, degrees): 9.072 9.072 9.211 90.00 90.00 90.00
Space group I-42d (No. 122)
Inequivalent atoms, fractional coordinates:
Ce1 0.079 0.666 0.438 x16
Ga1 0.137 0.750 0.125 x8
Te1 0.000 0.000 0.500 x4

=====

Entry 12:
First-principles (GGA-PBE) data for a geometry-optimized Ce3GaTe4 structure, as listed in Alexandria via LeMat-Bulk.

Lattice parameters (Å, degrees): 6.362 6.362 6.362 90.00 90.00 90.00
Space group Pm-3m (No. 221)
Inequivalent atoms, fractional coordinates:
Ce1 0.000 0.000 0.500 x3
Ga1 0.500 0.500 0.500 x1
Te1 0.000 0.000 0.000 x1
Te2 0.000 0.500 0.500 x3

=====

For each record above, in turn, the calculated DOS at the Fermi energy values are 1.956, 0.955, 1.926, 1.190, 1.412, 0.716, 0.701, 1.648, 1.857, 2.925, 2.901, 3.159 states/eV per atom.
For each record above, in turn, the calculated raw total energy values are -6.42, -7.42, -7.10, -6.86, -7.92, -6.20, -6.67, -5.22, -4.26, -5.27, -5.32, -5.30 eV/atom.